Here is an optimized crystal structure of RhAu2S from Alexandria. Energies are from GGA-PBE.

```
RhAu2S
1.0
7.337 0.000 0.000
0.000 7.337 0.000
3.668 3.668 2.604
Rh S Au
2 2 4
direct
0.000 0.000 0.000
0.750 0.250 0.500
0.500 0.500 0.000
0.250 0.750 0.500
0.601 0.125 0.250
0.149 0.625 0.250
0.375 0.399 0.750
0.875 0.851 0.750
```

Calculated values
Space-group type: I-42d
Total energy in eV per atom: -4.138
ΔE_f (raw) in eV/atom: 0.370